PBE-GGA CeSm2Cl8, optimized geometry; density = 4.38 g cm⁻³; uncorrected energy = -53.08 eV for the cell shown; magnetic moment = 2.0 μB per formula unit; uncorrected formation energy = -201.2 kJ/mol of atoms
1.0
-3.3182 -2.2420 -3.6117
-4.0741 -1.2566 6.2110
-0.5689 7.1701 -2.2403
Ce Sm Cl
1 2 8
Cartesian
-1.6591 -1.1210 -1.8059
-1.6822 4.4937 0.4439
-2.9608 1.4198 3.5268
-7.2482 1.6205 0.9866
-6.3380 3.8088 -1.2080
-3.9627 3.0180 1.3657
-4.9017 -0.3788 2.4004
-3.0595 4.0503 -2.0415
-3.9985 0.6535 -1.0068
-1.6232 -0.1372 1.5669
-0.7130 2.0510 -0.6276